The following is a meta-GGA SCAN calculation of a crystal of La2CuCl relaxed with PBEsol, from the Alexandria database.

## Properties
- density of states at the Fermi level (states/eV/atom) = 0.631
- energy above the most stable polymorph in this dataset (eV/f.u.) = 0.235
- total energy (eV/cell) = -339.8

a = 4.2345 Å, b = 4.2345 Å, c = 19.7776 Å
α = 90.00°, β = 90.00°, γ = 120.00°
Closest atoms and distances in Å follow each position.
Space group R-3m (No. 166, hexagonal axes)
Inequivalent atoms, fractional coordinates:
La1 0.0000 0.0000 0.2490  3 Cl 2.94, 3 Cu 2.96
Cu1 0.0000 0.0000 0.0000  6 La 2.96
Cl1 0.0000 0.0000 0.5000  6 La 2.94

=====

The following is a meta-GGA SCAN calculation of a crystal of LaNb2CuClO7 relaxed with PBEsol, from the Alexandria database.

## Properties
- density of states at the Fermi level (states/eV/atom) = 0.019
- energy above the most stable polymorph in this dataset (eV/f.u.) = 0.261
- total energy (eV/cell) = -207.1

a = 3.8749 Å, b = 3.8749 Å, c = 11.7082 Å
α = 90.00°, β = 90.00°, γ = 90.00°
Closest atoms and distances in Å follow each position.
Space group P4/mmm (No. 123)
Inequivalent atoms, fractional coordinates:
La1 0.0000 0.0000 0.0000  12 O 2.64-2.74
Nb1 0.5000 0.5000 0.1923  5 O 1.80-1.99
Cu1 0.5000 0.5000 0.5000  2 O 1.80
Cl1 0.0000 0.0000 0.5000  4 Cu 2.74
O1 0.0000 0.5000 0.1531  2 Nb 1.99
O2 0.5000 0.5000 0.0000  2 Nb 2.25
O3 0.5000 0.5000 0.3462  1 Cu 1.80, 1 Nb 1.80

=====

The following is a meta-GGA SCAN calculation of a crystal of LaNb2CuClO7 relaxed with PBEsol, from the Alexandria database.

## Properties
- energy above the most stable polymorph in this dataset (eV/f.u.) = 0.000
- total energy (eV/cell) = -829.3

a = 7.7903 Å, b = 7.8152 Å, c = 11.6981 Å
α = 90.00°, β = 90.00°, γ = 90.00°
Closest atoms and distances in Å follow each position.
Space group Pbam (No. 55)
Inequivalent atoms, fractional coordinates:
La1 0.0001 0.2381 0.0000  8 O 2.44-2.63
Nb1 0.2474 0.4998 0.1905  4 O 1.80-2.01
Cu1 0.2283 0.4916 0.5000  2 O 1.84
Cl1 0.0843 0.2277 0.5000  2 Cu 2.35
O1 0.0000 0.0000 0.1817  2 Nb 1.97
O2 0.0000 0.5000 0.1326  2 Nb 2.04
O3 0.2035 0.9997 0.0000  2 Nb 2.26, 2 La 2.44-2.45
O4 0.2175 0.4983 0.3431  1 Nb 1.80, 1 Cu 1.84
O5 0.2502 0.2498 0.1511  2 Nb 2.01

=====

The following is a meta-GGA SCAN calculation of a crystal of LiCuCl relaxed with PBEsol, from the Alexandria database.

## Properties
- density of states at the Fermi level (states/eV/atom) = 0.344
- total energy (eV/cell) = -53.5

a = 3.1443 Å, b = 3.1443 Å, c = 11.0735 Å
α = 90.00°, β = 90.00°, γ = 90.00°
Closest atoms and distances in Å follow each position.
Space group I4mm (No. 107)
Inequivalent atoms, fractional coordinates:
Li1 0.0000 0.0000 0.0000  4 Cl 2.32
Cu1 0.0000 0.0000 0.6606  1 Cl 2.45
Cl1 0.0000 0.0000 0.4389  4 Li 2.32, 1 Cu 2.45

=====

The following is a meta-GGA SCAN calculation of a crystal of Li4Cu4Cl10O relaxed with PBEsol, from the Alexandria database.

## Properties
- total energy (eV/cell) = -716.8

a = 15.8913 Å, b = 14.0737 Å, c = 6.9769 Å
α = 90.00°, β = 97.82°, γ = 90.00°
Closest atoms and distances in Å follow each position.
Space group C2/c (No. 15)
Inequivalent atoms, fractional coordinates:
Li1 0.2124 0.1776 0.3149  5 Cl 2.37-2.55
Li2 0.2195 0.4167 0.1878  5 Cl 2.45-2.68
Cu1 0.0777 0.1705 0.9170  1 O 1.95
Cu2 0.0808 0.3359 0.6506  1 O 1.94
Cl1 0.0000 0.0581 0.7500  2 Cu 2.23
Cl2 0.0000 0.4499 0.7500  2 Cu 2.22
Cl3 0.1126 0.2884 0.1272  1 Cu 2.23, 2 Li 2.47-2.48
Cl4 0.1703 0.2085 0.6291  1 Cu 2.31, 2 Li 2.42-2.45
Cl5 0.1715 0.4336 0.5287  1 Cu 2.24, 1 Li 2.45
Cl6 0.1779 0.0713 0.0522  1 Cu 2.23, 1 Li 2.37
O1 0.0000 0.2518 0.7500  4 Cu 1.94-1.95

=====

The following is a meta-GGA SCAN calculation of a crystal of Rb2LuCuCl6 relaxed with PBEsol, from the Alexandria database.

## Properties
- density of states at the Fermi level (states/eV/atom) = 0.000
- total energy (eV/cell) = -719.8

a = 10.0564 Å, b = 10.0564 Å, c = 10.0564 Å
α = 90.00°, β = 90.00°, γ = 90.00°
Closest atoms and distances in Å follow each position.
Space group Fm-3m (No. 225)
Inequivalent atoms, fractional coordinates:
Rb1 0.2500 0.2500 0.2500  12 Cl 3.56
Lu1 0.0000 0.0000 0.0000  6 Cl 2.55
Cu1 0.0000 0.0000 0.5000  6 Cl 2.48
Cl1 0.0000 0.0000 0.2532  1 Cu 2.48, 1 Lu 2.55

=====

The following is a meta-GGA SCAN calculation of a crystal of MgCuCl2 relaxed with PBEsol, from the Alexandria database.

## Properties
- density of states at the Fermi level (states/eV/atom) = 0.141
- energy above the most stable polymorph in this dataset (eV/f.u.) = 0.000
- total energy (eV/cell) = -38.4

a = 3.0688 Å, b = 3.0688 Å, c = 9.2582 Å
α = 90.00°, β = 90.00°, γ = 90.00°
Closest atoms and distances in Å follow each position.
Space group P4/mmm (No. 123)
Inequivalent atoms, fractional coordinates:
Mg1 0.0000 0.0000 0.0000  8 Cl 2.64
Cu1 0.0000 0.0000 0.5000  4 Cu 3.07
Cl1 0.5000 0.5000 0.1621  4 Mg 2.64

=====

The following is a meta-GGA SCAN calculation of a crystal of MgCuCl2 relaxed with PBEsol, from the Alexandria database.

## Properties
- density of states at the Fermi level (states/eV/atom) = 0.319
- energy above the most stable polymorph in this dataset (eV/f.u.) = 0.823
- total energy (eV/cell) = -37.6

a = 4.5117 Å, b = 4.5117 Å, c = 3.3297 Å
α = 90.00°, β = 90.00°, γ = 90.00°
Closest atoms and distances in Å follow each position.
Space group P4/mmm (No. 123)
Inequivalent atoms, fractional coordinates:
Mg1 0.0000 0.0000 0.0000  8 Cl 2.80
Cu1 0.5000 0.5000 0.0000  8 Cl 2.80
Cl1 0.0000 0.5000 0.5000  4 Mg 2.80, 4 Cu 2.80